CdNiTe2 after structural relaxation. Source: Alexandria via LeMat-Bulk, functional PBE-GGA.

a b c (Å): 3.520 3.520 8.590
angles (deg): 90.00 90.00 112.56
Atoms (fractional coordinates):
Cd (0.000, 0.000, 0.000)
Ni (0.000, 0.000, 0.500)
Te (0.500, 0.500, 0.309)
Te (0.500, 0.500, 0.691)

Results
calculated total energy	-3.110	eV/atom
total magnetic moment	0.0	Bohr magnetons per cell
DOS(E_F)	3.0	states/eV per cell
raw formation energy	0.134	eV/atom